# 1
The following is a PBE calculation of a geometry-optimized PrY2Th structure, from Alexandria via LeMat-Bulk.

Summary:
**ΔE to the lowest computed polymorph**: 32.5 meV per atom
**ΔE_f**: 47 meV/atom

a b c (Å): 5.1231 5.1231 5.0401
angles (deg): 90.00 90.00 90.00
Closest atoms and distances in Å follow each position.
Positions (direct):
1 Pr 0.0000 0.0000 0.0000  8 Y 3.59, 4 Th 3.62
2 Y 0.0000 0.5000 0.5000  4 Th 3.59, 4 Pr 3.59, 4 Y 3.62
3 Y 0.5000 0.0000 0.5000  4 Th 3.59, 4 Pr 3.59, 4 Y 3.62
4 Th 0.5000 0.5000 0.0000  8 Y 3.59, 4 Pr 3.62



# 2
The following is a PBE calculation of a geometry-optimized Pr10Y6Th structure, from Alexandria via LeMat-Bulk.

Summary:
**ΔE_f**: 149 meV/atom

a b c (Å): 9.9194 9.9194 7.0375
angles (deg): 90.00 90.00 120.00
Closest atoms and distances in Å follow each position.
Positions (direct):
1 Pr 0.0000 0.2777 0.3254  5 Y 3.41-3.74, 1 Th 3.58, 4 Pr 3.69-3.82
2 Pr 0.0000 0.7223 0.6746  5 Y 3.41-3.74, 1 Th 3.58, 4 Pr 3.69-3.82
3 Pr 0.2777 0.0000 0.3254  5 Y 3.41-3.74, 1 Th 3.58, 4 Pr 3.69-3.82
4 Pr 0.2777 0.2777 0.6746  5 Y 3.41-3.74, 1 Th 3.58, 4 Pr 3.69-3.82
5 Pr 0.3333 0.6667 0.0000  6 Y 3.41, 2 Pr 3.52
6 Pr 0.3333 0.6667 0.5000  8 Pr 3.52-3.82, 6 Y 3.91
7 Pr 0.6667 0.3333 0.0000  6 Y 3.41, 2 Pr 3.52
8 Pr 0.6667 0.3333 0.5000  8 Pr 3.52-3.82, 6 Y 3.91
9 Pr 0.7223 0.0000 0.6746  5 Y 3.41-3.74, 1 Th 3.58, 4 Pr 3.69-3.82
10 Pr 0.7223 0.7223 0.3254  5 Y 3.41-3.74, 1 Th 3.58, 4 Pr 3.69-3.82
11 Y 0.0000 0.3606 0.8234  7 Pr 3.41-3.74, 1 Y 3.72, 1 Th 3.79
12 Y 0.0000 0.6394 0.1766  7 Pr 3.41-3.74, 1 Y 3.72, 1 Th 3.79
13 Y 0.3606 0.0000 0.8234  7 Pr 3.41-3.74, 1 Y 3.72, 1 Th 3.79
14 Y 0.3606 0.3606 0.1766  7 Pr 3.41-3.74, 1 Y 3.72, 1 Th 3.79
15 Y 0.6394 0.0000 0.1766  7 Pr 3.41-3.74, 1 Y 3.72, 1 Th 3.79
16 Y 0.6394 0.6394 0.8234  7 Pr 3.41-3.74, 1 Y 3.72, 1 Th 3.79
17 Th 0.0000 0.0000 0.0000  6 Pr 3.58, 6 Y 3.79



# 3
The following is a PBE calculation of a geometry-optimized PrYTh structure, from Alexandria via LeMat-Bulk.

Summary:
**ΔE to the lowest computed polymorph**: 30.5 meV per atom
**ΔE_f**: 55 meV/atom

a b c (Å): 3.6317 5.8793 9.7098
angles (deg): 90.00 100.76 90.00
Closest atoms and distances in Å follow each position.
Positions (direct):
1 Pr 0.2179 0.2500 0.4352  2 Th 3.58, 6 Pr 3.63-3.67, 4 Y 3.64-3.84
2 Pr 0.7821 0.7500 0.5648  2 Th 3.58, 6 Pr 3.63-3.67, 4 Y 3.64-3.84
3 Y 0.1046 0.7500 0.2107  6 Th 3.57-3.59, 2 Y 3.63, 4 Pr 3.64-3.84
4 Y 0.8954 0.2500 0.7893  6 Th 3.57-3.59, 2 Y 3.63, 4 Pr 3.64-3.84
5 Th 0.4425 0.7500 0.8885  6 Y 3.57-3.59, 2 Pr 3.58, 4 Th 3.63
6 Th 0.5575 0.2500 0.1115  6 Y 3.57-3.59, 2 Pr 3.58, 4 Th 3.63



Q: Which value of ΔE_f does entry 1 give?
A: 47 meV/atom